1.
Ba4LiTl3 | PBE-GGA | optimized geometry

Cell lengths 6.0928, 6.0928, 10.5263 Å; angles 73.18, 73.18, 60.00 degrees
Last column: nearest neighbours and their distance in Å.
Sites, in units of the cell vectors:
Ba (0.8732, 0.8732, 0.3804)  7 Tl 3.71-3.77, 1 Li 3.77
Tl (0.5000, 0.5000, 0.5000)  8 Ba 3.65-3.71
Ba (0.1268, 0.1268, 0.6196)  7 Tl 3.71-3.77, 1 Li 3.77
Li (0.0000, 0.0000, 0.0000)  8 Ba 3.75-3.77
Ba (0.3773, 0.3773, 0.8680)  5 Tl 3.65-3.72, 3 Li 3.75
Tl (0.2522, 0.2522, 0.2434)  8 Ba 3.69-3.77
Ba (0.6227, 0.6227, 0.1320)  5 Tl 3.65-3.72, 3 Li 3.75
Tl (0.7478, 0.7478, 0.7566)  8 Ba 3.69-3.77

Values from the calculation:
The total energy is -2.400 eV per atom. The formation energy is -0.312 eV per atom. Its space group is R-3m, No. 166.

***

2.
Ba6LiTl | PBE-GGA | optimized geometry

Cell lengths 8.2895, 8.2928, 8.3359 Å; angles 60.17, 77.89, 65.05 degrees
Last column: nearest neighbours and their distance in Å.
Sites, in units of the cell vectors:
Ba (0.7540, 0.0540, 0.3791)  1 Tl 3.50, 1 Li 3.56
Ba (0.2489, 0.2499, 0.0000)  1 Tl 3.49, 1 Li 3.50
Ba (0.2460, 0.9460, 0.6209)  1 Tl 3.50, 1 Li 3.56
Tl (0.0000, 0.0000, 0.0000)  6 Ba 3.49-3.50
Ba (0.2460, 0.5669, 0.3791)  1 Tl 3.50, 1 Li 3.56
Li (0.5000, 0.5000, 0.0000)  6 Ba 3.50-3.56
Ba (0.7511, 0.7501, 0.0000)  1 Tl 3.49, 1 Li 3.50
Ba (0.7540, 0.4331, 0.6209)  1 Tl 3.50, 1 Li 3.56

Values from the calculation:
The total energy is -1.952 eV per atom. The formation energy is 0.025 eV per atom. Its space group is C2/m, No. 12.

***

3.
Ba2LiTl | PBE-GGA | optimized geometry

Cell lengths 4.4092, 4.4092, 11.0909 Å; angles 78.53, 78.53, 60.00 degrees
Last column: nearest neighbours and their distance in Å.
Sites, in units of the cell vectors:
Ba (0.0782, 0.0782, 0.7653)  3 Tl 3.60, 3 Li 3.84
Ba (0.2551, 0.2551, 0.2348)  3 Tl 3.58, 3 Li 3.82
Tl (0.6663, 0.6663, 0.0010)  6 Ba 3.58-3.60
Li (0.5004, 0.5004, 0.4989)  6 Ba 3.82-3.84

Values from the calculation:
The total energy is -2.081 eV per atom. The formation energy is -0.049 eV per atom. Its space group is R3m, No. 160.

***

4.
Ba3Li6Tl5 | PBE-GGA | optimized geometry

Cell lengths 5.1643, 9.4390, 9.4390 Å; angles 65.39, 74.12, 74.12 degrees
Last column: nearest neighbours and their distance in Å.
Sites, in units of the cell vectors:
Tl (0.6620, 0.9969, 0.6791)  4 Li 2.96-3.12, 1 Tl 3.24
Li (0.5000, 0.3234, 0.6766)  4 Tl 2.96-3.15, 4 Li 3.27
Tl (0.3380, 0.3209, 0.0031)  4 Li 2.96-3.12, 1 Tl 3.24
Tl (0.0000, 0.5000, 0.5000)  8 Li 2.89-3.15
Tl (0.3380, 0.0031, 0.3209)  4 Li 2.96-3.12, 1 Tl 3.24
Ba (0.0000, 0.0000, 0.0000)  4 Li 3.61, 8 Tl 3.90
Li (0.1325, 0.1623, 0.5726)  4 Tl 2.89-3.12
Li (0.8675, 0.4274, 0.8377)  4 Tl 2.89-3.12
Ba (0.7046, 0.2954, 0.2954)  8 Li 3.49-3.88, 6 Tl 3.54-3.65
Li (0.8675, 0.8377, 0.4274)  4 Tl 2.89-3.12
Li (0.5000, 0.6766, 0.3234)  4 Tl 2.96-3.15, 4 Li 3.27
Tl (0.6620, 0.6791, 0.9969)  4 Li 2.96-3.12, 1 Tl 3.24
Ba (0.2954, 0.7046, 0.7046)  8 Li 3.49-3.88, 6 Tl 3.54-3.65
Li (0.1325, 0.5726, 0.1623)  4 Tl 2.89-3.12

Values from the calculation:
The total energy is -2.342 eV per atom. The formation energy is -0.264 eV per atom. Its space group is Immm, No. 71.